MnIn2Br: optimized geometry, PBE.

Structure (POSCAR):
```
MnIn2Br
1.0
-1.651 2.827 5.332
1.651 -2.827 5.332
1.651 2.827 -5.332
Mn In Br
1 2 1
direct
0.000 0.000 0.000 Mn
0.497 0.497 0.000 In
0.778 0.278 0.500 In
0.190 0.690 0.500 Br
```

Properties
E: -4.03 eV per atom
Energy relative to the elements, uncorrected: 0.05 eV/atom
Relative energy among the computed polymorphs: 0.89 kcal/mol of atoms
DOS(E_F): 0.46 states/eV per atom